No. 1
# LaPm5Sn2 PBE-GGA relaxed
# N(E_F) (states/eV/atom): 1.52
# Energy of formation (eV per atom): -0.333
data_LaPm5Sn2
_chemical_formula_sum 'La1 Pm5 Sn2'
_symmetry_space_group_name_H-M 'P 1'
_symmetry_Int_Tables_number 1
_symmetry_space_group_name_Hall 'P 1'
_cell_length_a 7.954
_cell_length_b 7.954
_cell_length_c 7.954
_cell_angle_alpha 145.75
_cell_angle_beta 102.16
_cell_angle_gamma 87.86
loop_
_atom_site_label
_atom_site_type_symbol
_atom_site_fract_x
_atom_site_fract_y
_atom_site_fract_z
La1 La 0.000 0.000 0.000
Pm1 Pm 0.157 0.344 0.813
Pm2 Pm 0.470 0.656 0.813
Pm3 Pm 0.500 0.000 0.500
Pm4 Pm 0.530 0.344 0.187
Pm5 Pm 0.843 0.656 0.187
Sn1 Sn 0.211 0.711 0.500
Sn2 Sn 0.789 0.289 0.500

***

No. 2
# TaTi3H8 PBE-GGA relaxed
# N(E_F) (states/eV/atom): 0.49
# Total energy (eV/f.u.): -67.48
data_TaTi3H8
_chemical_formula_sum 'Ta1 Ti3 H8'
_symmetry_space_group_name_H-M 'P 1'
_symmetry_Int_Tables_number 1
_symmetry_space_group_name_Hall 'P 1'
_cell_length_a 5.430
_cell_length_b 5.430
_cell_length_c 5.430
_cell_angle_alpha 131.84
_cell_angle_beta 131.84
_cell_angle_gamma 70.49
loop_
_atom_site_label
_atom_site_type_symbol
_atom_site_fract_x
_atom_site_fract_y
_atom_site_fract_z
Ta1 Ta 0.000 0.000 0.000
Ti1 Ti 0.250 0.750 0.500
Ti2 Ti 0.500 0.500 0.000
Ti3 Ti 0.750 0.250 0.500
H1 H 0.126 0.126 0.504
H2 H 0.126 0.622 0.000
H3 H 0.378 0.378 0.504
H4 H 0.378 0.874 0.000
H5 H 0.622 0.126 0.000
H6 H 0.622 0.622 0.496
H7 H 0.874 0.378 0.000
H8 H 0.874 0.874 0.496

***

No. 3
# Si2PRu PBE-GGA relaxed
# N(E_F) (states/eV/atom): 0.48
# Formation energy (no corrections) (eV per atom): 0.214
data_Si2PRu
_chemical_formula_sum 'Si2 P1 Ru1'
_symmetry_space_group_name_H-M 'P 1'
_symmetry_Int_Tables_number 1
_symmetry_space_group_name_Hall 'P 1'
_cell_length_a 4.491
_cell_length_b 4.491
_cell_length_c 4.491
_cell_angle_alpha 128.63
_cell_angle_beta 128.63
_cell_angle_gamma 75.61
loop_
_atom_site_label
_atom_site_type_symbol
_atom_site_fract_x
_atom_site_fract_y
_atom_site_fract_z
Si1 Si 0.250 0.750 0.500
Si2 Si 0.750 0.250 0.500
P1 P 0.000 0.000 0.000
Ru1 Ru 0.500 0.500 0.000

***

No. 4
# Y4PSe2S PBE-GGA relaxed
# N(E_F) (states/eV/atom): 0.38
# Formation energy (no corrections) (eV per atom): -1.857
data_Y4PSe2S
_chemical_formula_sum 'Y4 P1 Se2 S1'
_symmetry_space_group_name_H-M 'P 1'
_symmetry_Int_Tables_number 1
_symmetry_space_group_name_Hall 'P 1'
_cell_length_a 6.929
_cell_length_b 4.005
_cell_length_c 7.075
_cell_angle_alpha 90.00
_cell_angle_beta 109.05
_cell_angle_gamma 90.00
loop_
_atom_site_label
_atom_site_type_symbol
_atom_site_fract_x
_atom_site_fract_y
_atom_site_fract_z
Y1 Y 0.238 0.000 0.226
Y2 Y 0.254 0.500 0.774
Y3 Y 0.746 0.500 0.226
Y4 Y 0.762 0.000 0.774
P1 P 0.000 0.500 0.000
Se1 Se 0.000 0.000 0.500
Se2 Se 0.500 0.500 0.500
S1 S 0.500 0.000 0.000

***

No. 5
# AcPr2Ge6 PBE-GGA relaxed
# N(E_F) (states/eV/atom): 0.59
# Energy of formation (eV per atom): -0.589
data_AcPr2Ge6
_chemical_formula_sum 'Ac1 Pr2 Ge6'
_symmetry_space_group_name_H-M 'P 1'
_symmetry_Int_Tables_number 1
_symmetry_space_group_name_Hall 'P 1'
_cell_length_a 7.782
_cell_length_b 7.782
_cell_length_c 4.221
_cell_angle_alpha 90.00
_cell_angle_beta 90.00
_cell_angle_gamma 120.00
loop_
_atom_site_label
_atom_site_type_symbol
_atom_site_fract_x
_atom_site_fract_y
_atom_site_fract_z
Ac1 Ac 0.000 0.000 0.000
Pr1 Pr 0.333 0.667 0.000
Pr2 Pr 0.667 0.333 0.000
Ge1 Ge 0.000 0.338 0.500
Ge2 Ge 0.000 0.662 0.500
Ge3 Ge 0.338 0.000 0.500
Ge4 Ge 0.338 0.338 0.500
Ge5 Ge 0.662 0.000 0.500
Ge6 Ge 0.662 0.662 0.500

***

No. 6
# TaBeW2 PBE-GGA relaxed
# N(E_F) (states/eV/atom): 0.54
# Energy of formation (eV per atom): 0.166
data_TaBeW2
_chemical_formula_sum 'Ta1 Be1 W2'
_symmetry_space_group_name_H-M 'P 1'
_symmetry_Int_Tables_number 1
_symmetry_space_group_name_Hall 'P 1'
_cell_length_a 3.765
_cell_length_b 3.765
_cell_length_c 4.300
_cell_angle_alpha 90.00
_cell_angle_beta 90.00
_cell_angle_gamma 90.00
loop_
_atom_site_label
_atom_site_type_symbol
_atom_site_fract_x
_atom_site_fract_y
_atom_site_fract_z
Ta1 Ta 0.000 0.000 0.000
Be1 Be 0.500 0.500 0.000
W1 W 0.000 0.500 0.500
W2 W 0.500 0.000 0.500

***

No. 7
# Sm2MgTl2 PBE-GGA relaxed
# N(E_F) (states/eV/atom): 0.90
# Energy of formation (eV per atom): -0.313
# Distance to the lowest polymorph of the same formula (meV/atom): 0
data_Sm2MgTl2
_chemical_formula_sum 'Sm4 Mg2 Tl4'
_symmetry_space_group_name_H-M 'P 1'
_symmetry_Int_Tables_number 1
_symmetry_space_group_name_Hall 'P 1'
_cell_length_a 7.798
_cell_length_b 7.798
_cell_length_c 4.715
_cell_angle_alpha 90.00
_cell_angle_beta 90.00
_cell_angle_gamma 90.00
loop_
_atom_site_label
_atom_site_type_symbol
_atom_site_fract_x
_atom_site_fract_y
_atom_site_fract_z
Sm1 Sm 0.168 0.332 0.000
Sm2 Sm 0.332 0.832 0.000
Sm3 Sm 0.668 0.168 0.000
Sm4 Sm 0.832 0.668 0.000
Mg1 Mg 0.000 0.000 0.500
Mg2 Mg 0.500 0.500 0.500
Tl1 Tl 0.139 0.639 0.500
Tl2 Tl 0.361 0.139 0.500
Tl3 Tl 0.639 0.861 0.500
Tl4 Tl 0.861 0.361 0.500

***

No. 8
# Cr2ReOs PBE-GGA relaxed
# N(E_F) (states/eV/atom): 1.19
# Energy of formation (eV per atom): 0.204
data_Cr2ReOs
_chemical_formula_sum 'Cr2 Re1 Os1'
_symmetry_space_group_name_H-M 'P 1'
_symmetry_Int_Tables_number 1
_symmetry_space_group_name_Hall 'P 1'
_cell_length_a 4.235
_cell_length_b 4.235
_cell_length_c 4.235
_cell_angle_alpha 60.00
_cell_angle_beta 60.00
_cell_angle_gamma 60.00
loop_
_atom_site_label
_atom_site_type_symbol
_atom_site_fract_x
_atom_site_fract_y
_atom_site_fract_z
Cr1 Cr 0.000 0.000 0.000
Cr2 Cr 0.250 0.250 0.250
Re1 Re 0.750 0.750 0.750
Os1 Os 0.500 0.500 0.500

***

No. 9
# VGa3N PBE-GGA relaxed
# N(E_F) (states/eV/atom): 1.04
# Formation energy (no corrections) (eV per atom): 1.413
# Distance to the lowest polymorph of the same formula (meV/atom): 785
data_VGa3N
_chemical_formula_sum 'V1 Ga3 N1'
_symmetry_space_group_name_H-M 'P 1'
_symmetry_Int_Tables_number 1
_symmetry_space_group_name_Hall 'P 1'
_cell_length_a 4.950
_cell_length_b 4.950
_cell_length_c 4.950
_cell_angle_alpha 90.00
_cell_angle_beta 90.00
_cell_angle_gamma 90.00
loop_
_atom_site_label
_atom_site_type_symbol
_atom_site_fract_x
_atom_site_fract_y
_atom_site_fract_z
V1 V 0.000 0.000 0.000
Ga1 Ga 0.000 0.000 0.500
Ga2 Ga 0.000 0.500 0.000
Ga3 Ga 0.500 0.000 0.000
N1 N 0.500 0.500 0.500

***

No. 10
# BaMg2W PBE-GGA relaxed
# N(E_F) (states/eV/atom): 0.62
# Energy of formation (eV per atom): 0.944
# Distance to the lowest polymorph of the same formula (meV/atom): 326
data_BaMg2W
_chemical_formula_sum 'Ba1 Mg2 W1'
_symmetry_space_group_name_H-M 'P 1'
_symmetry_Int_Tables_number 1
_symmetry_space_group_name_Hall 'P 1'
_cell_length_a 5.574
_cell_length_b 5.574
_cell_length_c 3.024
_cell_angle_alpha 90.00
_cell_angle_beta 90.00
_cell_angle_gamma 90.00
loop_
_atom_site_label
_atom_site_type_symbol
_atom_site_fract_x
_atom_site_fract_y
_atom_site_fract_z
Ba1 Ba 0.000 0.000 0.000
Mg1 Mg 0.000 0.500 0.500
Mg2 Mg 0.500 0.000 0.500
W1 W 0.500 0.500 0.000

***

No. 11
# Cu4MoPd15 PBE-GGA relaxed
# N(E_F) (states/eV/atom): 1.24
# Energy of formation (eV per atom): -0.067
data_Cu4MoPd15
_chemical_formula_sum 'Cu4 Mo1 Pd15'
_symmetry_space_group_name_H-M 'P 1'
_symmetry_Int_Tables_number 1
_symmetry_space_group_name_Hall 'P 1'
_cell_length_a 3.894
_cell_length_b 3.894
_cell_length_c 19.520
_cell_angle_alpha 90.00
_cell_angle_beta 90.00
_cell_angle_gamma 90.00
loop_
_atom_site_label
_atom_site_type_symbol
_atom_site_fract_x
_atom_site_fract_y
_atom_site_fract_z
Cu1 Cu 0.000 0.000 0.100
Cu2 Cu 0.000 0.000 0.297
Cu3 Cu 0.000 0.000 0.703
Cu4 Cu 0.000 0.000 0.900
Mo1 Mo 0.000 0.000 0.500
Pd1 Pd 0.000 0.500 0.000
Pd2 Pd 0.000 0.500 0.198
Pd3 Pd 0.000 0.500 0.400
Pd4 Pd 0.000 0.500 0.600
Pd5 Pd 0.000 0.500 0.802
Pd6 Pd 0.500 0.000 0.000
Pd7 Pd 0.500 0.000 0.198
Pd8 Pd 0.500 0.000 0.400
Pd9 Pd 0.500 0.000 0.600
Pd10 Pd 0.500 0.000 0.802
Pd11 Pd 0.500 0.500 0.099
Pd12 Pd 0.500 0.500 0.299
Pd13 Pd 0.500 0.500 0.500
Pd14 Pd 0.500 0.500 0.701
Pd15 Pd 0.500 0.500 0.901

***

No. 12
# Pm12PuGe7 PBE-GGA relaxed
# N(E_F) (states/eV/atom): 1.57
# Energy of formation (eV per atom): -0.386
data_Pm12PuGe7
_chemical_formula_sum 'Pm12 Pu1 Ge7'
_symmetry_space_group_name_H-M 'P 1'
_symmetry_Int_Tables_number 1
_symmetry_space_group_name_Hall 'P 1'
_cell_length_a 9.243
_cell_length_b 9.243
_cell_length_c 9.243
_cell_angle_alpha 107.53
_cell_angle_beta 107.53
_cell_angle_gamma 107.53
loop_
_atom_site_label
_atom_site_type_symbol
_atom_site_fract_x
_atom_site_fract_y
_atom_site_fract_z
Pm1 Pm 0.034 0.112 0.346
Pm2 Pm 0.112 0.346 0.034
Pm3 Pm 0.192 0.574 0.731
Pm4 Pm 0.269 0.808 0.426
Pm5 Pm 0.346 0.034 0.112
Pm6 Pm 0.426 0.269 0.808
Pm7 Pm 0.574 0.731 0.192
Pm8 Pm 0.654 0.966 0.888
Pm9 Pm 0.731 0.192 0.574
Pm10 Pm 0.808 0.426 0.269
Pm11 Pm 0.888 0.654 0.966
Pm12 Pm 0.966 0.888 0.654
Pu1 Pu 0.500 0.500 0.500
Ge1 Ge 0.000 0.000 0.000
Ge2 Ge 0.153 0.460 0.384
Ge3 Ge 0.384 0.153 0.460
Ge4 Ge 0.460 0.384 0.153
Ge5 Ge 0.540 0.616 0.847
Ge6 Ge 0.616 0.847 0.540
Ge7 Ge 0.847 0.540 0.616